# 1
Material: LiTmCo4
Method: DFT, PBE
State: relaxed

```
LiTmCo4
1.0
4.898 0.000 0.000
2.449 4.242 0.000
2.449 1.414 4.000
Co Tm Li
4 1 1
direct
0.126 0.625 0.625 Co
0.625 0.625 0.625 Co
0.625 0.126 0.625 Co
0.625 0.625 0.126 Co
0.000 0.000 0.000 Tm
0.250 0.250 0.250 Li
```

Formation energy from the elements, kJ/mol of formula units: -59

# 2
Material: LiTm3Co
Method: DFT, PBE
State: relaxed

```
LiTm3Co
1.0
-0.803 4.072 1.918
-6.438 -1.785 1.094
4.638 -2.157 6.519
Li Tm Co
2 6 2
direct
0.250 0.268 0.166 Li
0.750 0.732 0.834 Li
0.250 0.340 0.599 Tm
0.250 0.931 0.721 Tm
0.750 0.660 0.401 Tm
0.250 0.700 0.088 Tm
0.750 0.300 0.912 Tm
0.750 0.069 0.279 Tm
0.250 0.928 0.400 Co
0.750 0.072 0.600 Co
```

Formation energy from the elements, kJ/mol of formula units: -16

# 3
Material: LiTm3Co
Method: DFT, PBE
State: relaxed

```
LiTm3Co
1.0
-3.664 1.517 -3.295
-3.455 -2.887 2.513
-1.106 3.993 3.068
Li Tm Co
1 3 1
direct
0.500 0.500 0.500 Li
0.000 0.000 0.500 Tm
0.000 0.500 0.000 Tm
0.500 0.000 0.000 Tm
0.000 0.000 0.000 Co
```

Formation energy from the elements, kJ/mol of formula units: -10

# 4
Material: LiTm8Co2
Method: DFT, PBE
State: relaxed

```
LiTm8Co2
1.0
-4.424 -0.462 -3.187
-0.453 -6.813 3.315
-2.542 5.629 4.412
Tm Co Li
8 2 1
direct
0.798 0.616 0.616 Tm
0.585 0.072 0.337 Tm
0.415 0.669 0.934 Tm
0.202 0.390 0.390 Tm
0.585 0.337 0.072 Tm
0.000 0.755 0.252 Tm
0.000 0.252 0.755 Tm
0.415 0.934 0.669 Tm
0.500 0.696 0.311 Co
0.500 0.311 0.696 Co
0.000 0.002 0.002 Li
```

Formation energy from the elements, kJ/mol of formula units: -22

# 5
Material: Li2TmCo9
Method: DFT, PBE
State: relaxed

```
Li2TmCo9
1.0
-1.712 0.947 -4.347
-6.427 -4.487 1.553
-3.783 6.418 2.888
Co Li Tm
18 4 2
direct
0.500 0.433 0.710 Co
0.236 0.180 0.680 Co
0.500 0.210 0.933 Co
0.236 0.820 0.320 Co
0.500 0.290 0.433 Co
0.236 0.680 0.820 Co
0.236 0.320 0.180 Co
0.764 0.320 0.180 Co
0.500 0.933 0.790 Co
0.500 0.790 0.067 Co
0.764 0.820 0.320 Co
0.500 0.067 0.210 Co
0.500 0.567 0.290 Co
0.500 0.000 0.500 Co
0.500 0.500 0.000 Co
0.500 0.710 0.567 Co
0.764 0.180 0.680 Co
0.764 0.680 0.820 Co
0.000 0.115 0.385 Li
0.000 0.385 0.885 Li
0.000 0.885 0.615 Li
0.000 0.615 0.115 Li
0.000 0.500 0.500 Tm
0.000 0.000 0.000 Tm
```

Formation energy from the elements, kJ/mol of formula units: -19

# 6
Material: LiTmCo
Method: DFT, PBE
State: relaxed

```
LiTmCo
1.0
-3.245 -1.515 1.331
-0.349 -2.016 -3.145
4.224 -7.311 1.979
Co Li Tm
2 2 2
direct
0.250 0.466 0.069 Co
0.750 0.534 0.931 Co
0.250 0.297 0.407 Li
0.750 0.703 0.593 Li
0.250 0.089 0.822 Tm
0.750 0.911 0.178 Tm
```

Formation energy from the elements, kJ/mol of formula units: -31

# 7
Material: LiTm4Co2
Method: DFT, PBE
State: relaxed

```
LiTm4Co2
1.0
6.929 0.611 1.000
0.146 6.697 -1.049
-2.710 -4.451 7.190
Li Tm Co
2 8 4
direct
0.114 0.613 0.479 Li
0.170 0.190 0.032 Li
0.799 0.757 0.814 Tm
0.377 0.114 0.749 Tm
0.313 0.693 0.867 Tm
0.019 0.034 0.282 Tm
0.814 0.445 0.111 Tm
0.844 0.075 0.614 Tm
0.403 0.655 0.236 Tm
0.515 0.269 0.393 Tm
0.664 0.823 0.130 Co
0.048 0.542 0.961 Co
0.616 0.416 0.781 Co
0.552 0.124 0.051 Co
```

Formation energy from the elements, kJ/mol of formula units: -32

# 8
Material: LiUCo4
Method: DFT, PBE
State: relaxed

```
LiUCo4
1.0
-3.191 1.438 3.284
-4.477 -1.726 -0.088
-1.468 -3.039 3.412
Co Li U
4 1 1
direct
0.624 0.128 0.624 Co
0.128 0.624 0.624 Co
0.624 0.624 0.128 Co
0.624 0.624 0.624 Co
0.250 0.250 0.250 Li
0.000 0.000 0.000 U
```

Formation energy from the elements, kJ/mol of formula units: -40

Q: What is the formation energy from the elements in the seventh record?
A: -32 kJ/mol of formula units

Q: Which value of formation energy from the elements does entry 3 give?
A: -10 kJ/mol of formula units

Q: Among the records above, which one has the lowest formation energy from the elements?
A: LiTmCo4